Record 1
An optimized crystal structure of PrN2O. Source: Alexandria, functional PBE.

Values from the calculation:
The calculation puts the total energy at -7.724 eV/atom. For the raw formation energy, the calculation gives -1127.2 meV/atom. The space-group type is Cmcm.

Lattice parameters (Å, degrees): 3.788 6.338 6.372 90.00 90.00 107.39
Sites, in units of the cell vectors:
1 O 0.063 0.125 0.250
2 O 0.937 0.875 0.750
3 N 0.663 0.326 0.841
4 N 0.663 0.326 0.659
5 N 0.337 0.674 0.159
6 N 0.337 0.674 0.341
7 Pr 0.350 0.700 0.750
8 Pr 0.650 0.300 0.250



Record 2
An optimized crystal structure of Sm4CdSn2. Source: Alexandria, functional PBE.

Values from the calculation:
The value obtained for the energy of formation from the pure elements is -425 meV per atom. The calculation puts the total energy at -4.396 eV/atom. The space-group type is P2_1/m.

Lattice parameters (Å, degrees): 5.869 6.651 11.109 90.00 108.77 90.00
Sites, in units of the cell vectors:
1 Cd 0.937 0.250 0.830
2 Cd 0.063 0.750 0.170
3 Sm 0.576 0.988 0.265
4 Sm 0.969 0.250 0.125
5 Sm 0.191 0.750 0.449
6 Sm 0.424 0.488 0.735
7 Sm 0.576 0.512 0.265
8 Sm 0.424 0.012 0.735
9 Sm 0.809 0.250 0.551
10 Sm 0.031 0.750 0.875
11 Sn 0.597 0.750 0.000
12 Sn 0.770 0.750 0.568
13 Sn 0.230 0.250 0.432
14 Sn 0.403 0.250 0.000



Number 1: density of states at the Fermi level 2.4 states/eV per cell, calculated volume 146.0 Å³/cell, ρ 4.2 g/cm³. Number 2: density of states at the Fermi level 16.3 states/eV per cell, calculated volume 410.6 Å³/cell, ρ 7.7 g/cm³.